No. 1
A plane-wave DFT calculation with PBE was carried out for a geometry-optimized CdTcNi2 structure.

a = 8.8561 Å, b = 8.8561 Å, c = 8.8561 Å
α = 17.79°, β = 17.79°, γ = 17.79°
Closest atoms and distances in Å follow each position.
Atoms (fractional coordinates):
1 Ni 0.5057 0.5057 0.5057  3 Tc 2.57, 6 Ni 2.74, 3 Cd 2.81
2 Ni 0.9943 0.9943 0.9943  3 Tc 2.57, 6 Ni 2.74, 3 Cd 2.81
3 Tc 0.2500 0.2500 0.2500  6 Ni 2.57, 6 Tc 2.74
4 Cd 0.7500 0.7500 0.7500  6 Cd 2.74, 6 Ni 2.81

Magnetization   0.0001 μB/atom
Uncorrected energy   -5.521 eV/atom
Theoretical density   9.62 g cm⁻³
ΔH_f (0 K)   0.8 eV per formula unit
Symmetry   R-3m, No. 166
DOS at the Fermi energy   4.672 states/eV per cell

***

No. 2
A plane-wave DFT calculation with PBE was carried out for a geometry-optimized AgPb2Br structure.

a = 5.3855 Å, b = 5.3855 Å, c = 5.3855 Å
α = 60.00°, β = 60.00°, γ = 60.00°
Closest atoms and distances in Å follow each position.
Atoms (fractional coordinates):
1 Pb 0.0000 0.0000 0.0000  4 Br 3.30, 4 Pb 3.30
2 Pb 0.2500 0.2500 0.2500  4 Pb 3.30, 4 Ag 3.30
3 Br 0.7500 0.7500 0.7500  4 Ag 3.30, 4 Pb 3.30
4 Ag 0.5000 0.5000 0.5000  4 Pb 3.30, 4 Br 3.30

Magnetization   0.0000 μB/atom
Uncorrected energy   -2.867 eV/atom
Theoretical density   9.05 g cm⁻³
Raw formation energy   0.1185 eV/atom
Symmetry   F-43m, No. 216
Energy relative to the lowest polymorph listed for this composition   0.2530 eV per atom
DOS at the Fermi energy   3.080 states/eV per cell

***

No. 3
A plane-wave DFT calculation with PBE was carried out for a geometry-optimized YSnSN2 structure.

a = 4.1005 Å, b = 4.1005 Å, c = 5.1086 Å
α = 90.00°, β = 90.00°, γ = 90.00°
Closest atoms and distances in Å follow each position.
Atoms (fractional coordinates):
1 S 0.0000 0.0000 0.5000  2 Sn 2.55
2 N 0.0000 0.5000 0.0000  2 Sn 2.05
3 N 0.5000 0.0000 0.0000  2 Sn 2.05
4 Y 0.5000 0.5000 0.5000  4 S 2.90
5 Sn 0.0000 0.0000 0.0000  4 N 2.05

Magnetization   0.0946 μB/atom
Uncorrected energy   -6.128 eV/atom
Theoretical density   5.17 g cm⁻³
Raw formation energy   0.1213 eV/atom
Symmetry   P4/mmm, No. 123
Energy relative to the lowest polymorph listed for this composition   0.0000 eV per atom
DOS at the Fermi energy   0.881 states/eV per cell

***

No. 4
A plane-wave DFT calculation with PBE was carried out for a geometry-optimized Ce2PmAs structure.

a = 3.8903 Å, b = 3.8903 Å, c = 9.6848 Å
α = 78.42°, β = 78.42°, γ = 60.01°
Closest atoms and distances in Å follow each position.
Atoms (fractional coordinates):
1 Pm 0.5001 0.5001 0.4996  6 Ce 3.64-3.65, 6 Pm 3.89
2 Ce 0.0650 0.0650 0.8052  3 As 2.90
3 Ce 0.2683 0.2683 0.1952  3 As 2.90
4 As 0.6666 0.6666 0.0001  6 Ce 2.90

Magnetization   0.4228 μB/atom
Uncorrected energy   -5.804 eV/atom
Theoretical density   6.73 g cm⁻³
ΔH_f (0 K)   -1.9 eV per formula unit
Symmetry   R3m, No. 160
Energy relative to the lowest polymorph listed for this composition   0.0515 eV per atom
DOS at the Fermi energy   9.919 states/eV per cell

***

No. 5
A plane-wave DFT calculation with PBE was carried out for a geometry-optimized La5Pm4Er structure.

a = 3.7185 Å, b = 3.7185 Å, c = 25.6084 Å
α = 90.00°, β = 90.00°, γ = 90.00°
Closest atoms and distances in Å follow each position.
Atoms (fractional coordinates):
1 La 0.5000 0.5000 0.2979  8 Pm 3.69, 4 La 3.72
2 La 0.5000 0.5000 0.9034  4 Er 3.61, 4 Pm 3.67, 4 La 3.72
3 La 0.5000 0.5000 0.7021  8 Pm 3.69, 4 La 3.72
4 La 0.5000 0.5000 0.0966  4 Er 3.61, 4 Pm 3.67, 4 La 3.72
5 La 0.5000 0.5000 0.5000  8 Pm 3.69, 4 La 3.72
6 Pm 0.0000 0.0000 0.6012  8 La 3.69, 4 Pm 3.72
7 Pm 0.0000 0.0000 0.3988  8 La 3.69, 4 Pm 3.72
8 Pm 0.0000 0.0000 0.1967  8 La 3.67-3.69, 4 Pm 3.72
9 Pm 0.0000 0.0000 0.8033  8 La 3.67-3.69, 4 Pm 3.72
10 Er 0.0000 0.0000 0.0000  8 La 3.61, 4 Er 3.72

Magnetization   0.0000 μB/atom
Uncorrected energy   -4.800 eV/atom
Theoretical density   6.76 g cm⁻³
ΔH_f (0 K)   0.2 eV per formula unit
Symmetry   P4/mmm, No. 123
Energy relative to the lowest polymorph listed for this composition   0.0000 eV per atom
DOS at the Fermi energy   17.482 states/eV per cell

***

No. 6
A plane-wave DFT calculation with PBE was carried out for a geometry-optimized HgPt3 structure.

a = 4.5776 Å, b = 4.5776 Å, c = 4.5776 Å
α = 60.00°, β = 60.00°, γ = 60.00°
Closest atoms and distances in Å follow each position.
Atoms (fractional coordinates):
1 Pt 0.2500 0.2500 0.2500  4 Pt 2.80, 4 Hg 2.80
2 Pt 0.5000 0.5000 0.5000  8 Pt 2.80
3 Pt 0.7500 0.7500 0.7500  4 Pt 2.80, 4 Hg 2.80
4 Hg 0.0000 0.0000 0.0000  8 Pt 2.80

Magnetization   0.0000 μB/atom
Uncorrected energy   -4.488 eV/atom
Theoretical density   19.24 g cm⁻³
ΔH_f (0 K)   0.5 eV per formula unit
Symmetry   Fm-3m, No. 225
DOS at the Fermi energy   3.484 states/eV per cell

***

No. 7
A plane-wave DFT calculation with PBE was carried out for a geometry-optimized Li2Hf2Mo structure.

a = 7.3956 Å, b = 7.3956 Å, c = 3.1878 Å
α = 90.00°, β = 90.00°, γ = 90.00°
Closest atoms and distances in Å follow each position.
Atoms (fractional coordinates):
1 Li 0.3492 0.1508 0.5000  6 Hf 2.61-2.75
2 Li 0.8492 0.3492 0.5000  6 Hf 2.61-2.75
3 Li 0.6508 0.8492 0.5000  6 Hf 2.61-2.75
4 Li 0.1508 0.6508 0.5000  6 Hf 2.61-2.75
5 Hf 0.8480 0.6520 0.0000  6 Li 2.61-2.75, 2 Mo 2.81
6 Hf 0.6520 0.1520 0.0000  6 Li 2.61-2.75, 2 Mo 2.81
7 Hf 0.1520 0.3480 0.0000  6 Li 2.61-2.75, 2 Mo 2.81
8 Hf 0.3480 0.8480 0.0000  6 Li 2.61-2.75, 2 Mo 2.81
9 Mo 0.5000 0.5000 0.0000  4 Hf 2.81
10 Mo 0.0000 0.0000 0.0000  4 Hf 2.81

Magnetization   0.0000 μB/atom
Uncorrected energy   -6.329 eV/atom
Theoretical density   8.89 g cm⁻³
ΔH_f (0 K)   2.9 eV per formula unit
Symmetry   P4/mbm, No. 127
Energy relative to the lowest polymorph listed for this composition   0.3323 eV per atom
DOS at the Fermi energy   3.254 states/eV per cell

***

No. 8
A plane-wave DFT calculation with PBE was carried out for a geometry-optimized Pm5Tm4Pu structure.

a = 3.5194 Å, b = 11.3902 Å, c = 8.6272 Å
α = 108.54°, β = 101.77°, γ = 90.00°
Closest atoms and distances in Å follow each position.
Atoms (fractional coordinates):
1 Pu 0.5000 0.0000 0.0000  6 Tm 3.31-3.58, 4 Pm 3.46, 2 Pu 3.52
2 Pm 0.7888 0.3842 0.5776  8 Pm 3.52-3.81, 5 Tm 3.63-3.75
3 Pm 0.8140 0.9237 0.6281  4 Tm 3.36-3.48, 2 Pu 3.46, 4 Pm 3.52-3.64
4 Pm 0.1860 0.0763 0.3719  4 Tm 3.36-3.48, 2 Pu 3.46, 4 Pm 3.52-3.64
5 Pm 0.5000 0.5000 0.0000  6 Tm 3.29-3.60, 2 Pm 3.52
6 Pm 0.2112 0.6158 0.4224  8 Pm 3.52-3.81, 5 Tm 3.63-3.75
7 Tm 0.0812 0.2878 0.1625  6 Pm 3.42-3.75, 4 Tm 3.45-3.52, 2 Pu 3.58
8 Tm 0.9188 0.7122 0.8375  6 Pm 3.42-3.75, 4 Tm 3.45-3.52, 2 Pu 3.58
9 Tm 0.3955 0.2009 0.7911  6 Pm 3.29-3.63, 1 Pu 3.31, 4 Tm 3.45-3.52
10 Tm 0.6045 0.7991 0.2089  6 Pm 3.29-3.63, 1 Pu 3.31, 4 Tm 3.45-3.52

Magnetization   0.6031 μB/atom
Uncorrected energy   -5.536 eV/atom
Theoretical density   8.53 g cm⁻³
ΔH_f (0 K)   0.6 eV per formula unit
Symmetry   C2/m, No. 12
DOS at the Fermi energy   17.461 states/eV per cell

***

No. 9
A plane-wave DFT calculation with PBE was carried out for a geometry-optimized MnTcS3 structure.

a = 4.4108 Å, b = 4.4108 Å, c = 4.4108 Å
α = 90.00°, β = 90.00°, γ = 90.00°
Closest atoms and distances in Å follow each position.
Atoms (fractional coordinates):
1 S 0.0000 0.0000 0.5000  2 Mn 2.21
2 S 0.0000 0.5000 0.0000  2 Mn 2.21
3 S 0.5000 0.0000 0.0000  2 Mn 2.21
4 Mn 0.0000 0.0000 0.0000  6 S 2.21
5 Tc 0.5000 0.5000 0.5000  12 S 3.12

Magnetization   0.7751 μB/atom
Uncorrected energy   -5.619 eV/atom
Theoretical density   4.82 g cm⁻³
Raw formation energy   0.7648 eV/atom
Symmetry   Pm-3m, No. 221
Energy relative to the lowest polymorph listed for this composition   0.0000 eV per atom
DOS at the Fermi energy   9.062 states/eV per cell

***

No. 10
A plane-wave DFT calculation with PBE was carried out for a geometry-optimized Rb2AgBi2 structure.

a = 5.1792 Å, b = 5.1792 Å, c = 8.7977 Å
α = 72.88°, β = 72.88°, γ = 90.00°
Closest atoms and distances in Å follow each position.
Atoms (fractional coordinates):
1 Rb 0.7500 0.2500 0.5000  4 Bi 3.66, 4 Rb 3.66
2 Rb 0.2500 0.7500 0.5000  4 Bi 3.66, 4 Rb 3.66
3 Ag 0.0000 0.0000 0.0000  8 Bi 3.93
4 Bi 0.5885 0.5885 0.8230  1 Bi 2.83
5 Bi 0.4115 0.4115 0.1770  1 Bi 2.83

Magnetization   0.0000 μB/atom
Uncorrected energy   -2.131 eV/atom
Theoretical density   5.39 g cm⁻³
ΔH_f (0 K)   1.9 eV per formula unit
Symmetry   I4/mmm, No. 139
Energy relative to the lowest polymorph listed for this composition   0.6245 eV per atom
DOS at the Fermi energy   4.744 states/eV per cell

***

No. 11
A plane-wave DFT calculation with PBE was carried out for a geometry-optimized TaMnRu4 structure.

a = 5.0819 Å, b = 5.0819 Å, c = 5.0819 Å
α = 60.00°, β = 60.00°, γ = 60.00°
Closest atoms and distances in Å follow each position.
Atoms (fractional coordinates):
1 Ta 0.7500 0.7500 0.7500  12 Ru 2.98, 4 Mn 3.11
2 Ru 0.8763 0.3746 0.3746  6 Ru 2.53-2.55
3 Ru 0.3746 0.3746 0.3746  6 Ru 2.53-2.55
4 Ru 0.3746 0.8763 0.3746  6 Ru 2.53-2.55
5 Ru 0.3746 0.3746 0.8763  6 Ru 2.53-2.55
6 Mn 0.0000 0.0000 0.0000  12 Ru 2.98, 4 Ta 3.11

Magnetization   0.7150 μB/atom
Uncorrected energy   -9.526 eV/atom
Theoretical density   11.45 g cm⁻³
ΔH_f (0 K)   1.0 eV per formula unit
Symmetry   F-43m, No. 216
DOS at the Fermi energy   7.822 states/eV per cell

***

No. 12
A plane-wave DFT calculation with PBE was carried out for a geometry-optimized MnCo2Sb structure.

a = 3.8005 Å, b = 3.8005 Å, c = 8.9615 Å
α = 77.76°, β = 77.76°, γ = 90.00°
Closest atoms and distances in Å follow each position.
Atoms (fractional coordinates):
1 Mn 0.2500 0.7500 0.5000  4 Co 2.47, 4 Sb 2.69
2 Mn 0.5000 0.5000 0.0000  4 Co 2.47, 4 Sb 2.69
3 Co 0.1670 0.6250 0.2500  2 Mn 2.47, 2 Co 2.47, 2 Sb 2.59
4 Co 0.5830 0.1250 0.2500  2 Mn 2.47, 2 Co 2.47, 2 Sb 2.59
5 Co 0.8750 0.8330 0.7500  2 Mn 2.47, 2 Co 2.47, 2 Sb 2.59
6 Co 0.3750 0.4170 0.7500  2 Mn 2.47, 2 Co 2.47, 2 Sb 2.59
7 Sb 0.0000 0.0000 0.0000  4 Co 2.59, 4 Mn 2.69
8 Sb 0.7500 0.2500 0.5000  4 Co 2.59, 4 Mn 2.69

Magnetization   1.3214 μB/atom
Uncorrected energy   -6.425 eV/atom
Theoretical density   7.92 g cm⁻³
Raw formation energy   0.4512 eV/atom
Symmetry   I-42d, No. 122
DOS at the Fermi energy   9.728 states/eV per cell